Ca2HfAg | PBE | relaxed

Properties
relative energy among the computed polymorphs: 0.055 eV/atom
N(E_F): 0.714 states/eV/atom
formation energy: 2.12 eV/f.u.
total magnetic moment: 2.1 Bohr magnetons per cell

a = 6.806 Å, b = 6.806 Å, c = 6.806 Å
α = 102.15°, β = 102.15°, γ = 125.39°
Positions (direct):
Ca (0.080, 0.125, 0.455)
Ca (0.375, 0.920, 0.045)
Ca (0.670, 0.625, 0.545)
Ca (0.875, 0.330, 0.955)
Hf (0.250, 0.750, 0.500)
Hf (0.500, 0.500, 0.000)
Ag (0.000, 0.000, 0.000)
Ag (0.750, 0.250, 0.500)

---

Ca3HfAg | PBE | relaxed

Properties
relative energy among the computed polymorphs: 0.000 eV/atom
N(E_F): 2.580 states/eV/atom
formation energy: 2.92 eV/f.u.
total magnetic moment: 2.3 Bohr magnetons per cell

a = 5.617 Å, b = 5.617 Å, c = 5.617 Å
α = 90.00°, β = 90.00°, γ = 90.00°
Positions (direct):
Ca (0.000, 0.000, 0.500)
Ca (0.000, 0.500, 0.000)
Ca (0.500, 0.000, 0.000)
Hf (0.500, 0.500, 0.500)
Ag (0.000, 0.000, 0.000)

---

NaCaHf2Ag | PBE | relaxed

Properties
N(E_F): 1.526 states/eV/atom
formation energy: 4.18 eV/f.u.
total magnetic moment: 1.0 Bohr magnetons per cell

a = 5.233 Å, b = 5.233 Å, c = 5.743 Å
α = 90.00°, β = 90.00°, γ = 90.00°
Positions (direct):
Na (0.000, 0.000, 0.000)
Ca (0.500, 0.500, 0.000)
Hf (0.000, 0.500, 0.500)
Hf (0.500, 0.000, 0.500)
Ag (0.500, 0.500, 0.500)

---

Ca2HfAgPt | PBE | relaxed

Properties
N(E_F): 0.950 states/eV/atom
formation energy: 3.21 eV/f.u.
total magnetic moment: 0.0 Bohr magnetons per cell

a = 5.221 Å, b = 5.221 Å, c = 5.119 Å
α = 90.00°, β = 90.00°, γ = 90.00°
Positions (direct):
Ca (0.000, 0.500, 0.000)
Ca (0.500, 0.000, 0.000)
Hf (0.000, 0.000, 0.500)
Ag (0.500, 0.500, 0.000)
Pt (0.500, 0.500, 0.500)

---

CaHfAg2Rh | PBE | relaxed

Properties
N(E_F): 0.662 states/eV/atom
formation energy: 1.82 eV/f.u.
total magnetic moment: 0.0 Bohr magnetons per cell

a = 5.281 Å, b = 5.281 Å, c = 4.741 Å
α = 90.00°, β = 90.00°, γ = 90.00°
Positions (direct):
Ca (0.000, 0.000, 0.000)
Hf (0.500, 0.500, 0.500)
Ag (0.000, 0.500, 0.500)
Ag (0.500, 0.000, 0.500)
Rh (0.500, 0.500, 0.000)

---

CaHfAg2Sn | PBE | relaxed

Properties
N(E_F): 0.527 states/eV/atom
formation energy: 5.26 eV/f.u.
total magnetic moment: 0.0 Bohr magnetons per cell

a = 4.984 Å, b = 4.984 Å, c = 5.557 Å
α = 90.00°, β = 90.00°, γ = 90.00°
Positions (direct):
Ca (0.000, 0.000, 0.000)
Hf (0.500, 0.500, 0.500)
Ag (0.000, 0.500, 0.000)
Ag (0.500, 0.000, 0.000)
Sn (0.000, 0.000, 0.500)

---

Ca2HfAgSn | PBE | relaxed

Properties
N(E_F): 1.100 states/eV/atom
formation energy: 4.28 eV/f.u.
total magnetic moment: 0.0 Bohr magnetons per cell

a = 5.799 Å, b = 5.799 Å, c = 5.075 Å
α = 90.00°, β = 90.00°, γ = 90.00°
Positions (direct):
Ca (0.000, 0.500, 0.000)
Ca (0.500, 0.000, 0.000)
Hf (0.000, 0.000, 0.000)
Ag (0.000, 0.000, 0.500)
Sn (0.500, 0.500, 0.500)

---

CaHf2TcAg | PBE | relaxed

Properties
relative energy among the computed polymorphs: 0.000 eV/atom
N(E_F): 1.648 states/eV/atom
formation energy: 6.06 eV/f.u.
total magnetic moment: 1.3 Bohr magnetons per cell

a = 5.100 Å, b = 5.100 Å, c = 5.074 Å
α = 90.00°, β = 90.00°, γ = 90.00°
Positions (direct):
Ca (0.000, 0.000, 0.000)
Hf (0.000, 0.500, 0.500)
Hf (0.500, 0.000, 0.500)
Tc (0.500, 0.500, 0.000)
Ag (0.500, 0.500, 0.500)

---

CaHf2TcAg | PBE | relaxed

Properties
relative energy among the computed polymorphs: 0.151 eV/atom
N(E_F): 1.300 states/eV/atom
formation energy: 6.82 eV/f.u.
total magnetic moment: 0.9 Bohr magnetons per cell

a = 5.116 Å, b = 5.116 Å, c = 5.158 Å
α = 90.00°, β = 90.00°, γ = 90.00°
Positions (direct):
Ca (0.000, 0.000, 0.000)
Hf (0.000, 0.500, 0.500)
Hf (0.500, 0.000, 0.500)
Tc (0.500, 0.500, 0.000)
Ag (0.000, 0.000, 0.500)

---

CaHfTi2Ag | PBE | relaxed

Properties
N(E_F): 1.602 states/eV/atom
formation energy: 8.72 eV/f.u.
total magnetic moment: 2.2 Bohr magnetons per cell

a = 4.669 Å, b = 4.669 Å, c = 5.116 Å
α = 90.00°, β = 90.00°, γ = 90.00°
Positions (direct):
Ca (0.000, 0.000, 0.000)
Hf (0.000, 0.000, 0.500)
Ti (0.000, 0.500, 0.000)
Ti (0.500, 0.000, 0.000)
Ag (0.500, 0.500, 0.500)

---

Ca2HfAgW | PBE | relaxed

Properties
N(E_F): 0.760 states/eV/atom
formation energy: 6.81 eV/f.u.
total magnetic moment: 0.8 Bohr magnetons per cell

a = 5.891 Å, b = 5.891 Å, c = 4.784 Å
α = 90.00°, β = 90.00°, γ = 90.00°
Positions (direct):
Ca (0.000, 0.500, 0.000)
Ca (0.500, 0.000, 0.000)
Hf (0.000, 0.000, 0.000)
Ag (0.500, 0.500, 0.500)
W (0.000, 0.000, 0.500)

---

Ca2AgHg | PBE | relaxed

Properties
N(E_F): 0.805 states/eV/atom
formation energy: -1.71 eV/f.u.
total magnetic moment: 0.0 Bohr magnetons per cell

a = 5.333 Å, b = 5.333 Å, c = 3.713 Å
α = 90.00°, β = 90.00°, γ = 90.00°
Positions (direct):
Ca (0.000, 0.500, 0.000)
Ca (0.500, 0.000, 0.000)
Ag (0.000, 0.000, 0.500)
Hg (0.500, 0.500, 0.500)

---

Ca3Ag2Hg4 | PBE | relaxed

Properties
relative energy among the computed polymorphs: 0.009 eV/atom
N(E_F): 0.474 states/eV/atom
formation energy: -3.48 eV/f.u.
total magnetic moment: 0.0 Bohr magnetons per cell

a = 5.563 Å, b = 5.563 Å, c = 9.535 Å
α = 115.56°, β = 115.56°, γ = 58.95°
Positions (direct):
Ca (0.000, 0.000, 0.000)
Ca (0.329, 0.329, 0.667)
Ca (0.671, 0.671, 0.333)
Ag (0.345, 0.345, 0.340)
Ag (0.655, 0.655, 0.660)
Hg (0.006, 0.006, 0.336)
Hg (0.333, 0.333, 0.008)
Hg (0.667, 0.667, 0.992)
Hg (0.994, 0.994, 0.664)

---

CaAgHg4 | PBE | relaxed

Properties
relative energy among the computed polymorphs: 0.147 eV/atom
N(E_F): 0.457 states/eV/atom
formation energy: -0.37 eV/f.u.
total magnetic moment: 0.0 Bohr magnetons per cell

a = 5.951 Å, b = 5.951 Å, c = 5.951 Å
α = 60.00°, β = 60.00°, γ = 60.00°
Positions (direct):
Ca (0.000, 0.000, 0.000)
Ag (0.250, 0.250, 0.250)
Hg (0.126, 0.625, 0.625)
Hg (0.625, 0.126, 0.625)
Hg (0.625, 0.625, 0.126)
Hg (0.625, 0.625, 0.625)